This record from Alexandria via LeMat-Bulk describes an optimized crystal structure of BaCeTl2. The functional is PBE-GGA. Values from VASP.

```
&SYSTEM
  ibrav = 0, nat = 4, ntyp = 3
/
ATOMIC_SPECIES
Ba 137.33 Ba.upf
Ce 140.12 Ce.upf
Tl 204.38 Tl.upf
ATOMIC_POSITIONS angstrom
Ba 0.000 0.000 0.000
Ce 0.000 0.000 15.657
Tl 0.000 0.000 7.655
Tl 0.000 0.000 23.659
CELL_PARAMETERS angstrom
2.010 1.160 10.438
-2.010 1.160 10.438
0.000 -2.321 10.438
```

Summary:
V   36.51 Å³/atom
Crystal system   trigonal
VASP energy   -3.25 eV/atom